TiSbPdI2 | PBEsol | optimized geometry

Unit cell a=5.2921 b=5.2921 c=5.2114 alpha=90.00 beta=90.00 gamma=90.00
Fractional coordinates of all 5 atoms:
Ti 0.0000 0.0000 0.0000
Sb 0.5000 0.5000 0.0000
Pd 0.5000 0.5000 0.5000
I 0.0000 0.5000 0.5000
I 0.5000 0.0000 0.5000

Values from the calculation:
Calculated density ... 6028 kg/m3
Electronic total energy ... -19.61 eV per cell
DOS at the Fermi energy ... 9.43 states/eV/f.u.
Space-group type ... P4/mmm (123)
ΔE_f (raw) ... 552 meV/atom